1.
Entry from Alexandria via LeMat-Bulk: a relaxed Ac2PuHfO6 crystal (PBE).

a b c (Å): 6.0334 6.2203 8.5616
angles (deg): 90.00 89.83 90.00
Last column: nearest neighbours and their distance in Å.
Fractional positions:
O 0.2875 0.6795 0.0522  1 Hf 2.11
O 0.6750 0.2850 0.5617  1 Hf 2.13
O 0.7875 0.8205 0.5522  1 Hf 2.11
O 0.7125 0.3205 0.9478  1 Hf 2.11
O 0.1750 0.2150 0.0617  1 Hf 2.13
O 0.3250 0.7150 0.4383  1 Hf 2.13
O 0.1107 0.4520 0.7678  1 Hf 2.12
O 0.6107 0.0480 0.2678  1 Hf 2.12
O 0.8893 0.5480 0.2322  1 Hf 2.12
O 0.2125 0.1795 0.4478  1 Hf 2.11
O 0.8250 0.7850 0.9383  1 Hf 2.13
O 0.3893 0.9520 0.7322  1 Hf 2.12
Hf 0.0000 0.5000 0.0000  6 O 2.11-2.13
Hf 0.5000 0.0000 0.5000  6 O 2.11-2.13
Ac 0.0102 0.9486 0.2516  4 O 2.49-2.60
Ac 0.5102 0.5514 0.7516  4 O 2.49-2.60
Ac 0.4898 0.4486 0.2484  4 O 2.49-2.60
Ac 0.9898 0.0514 0.7484  4 O 2.49-2.60
Pu 0.0000 0.5000 0.5000  6 O 2.41-2.43
Pu 0.5000 0.0000 0.0000  6 O 2.41-2.43

Computed properties:
Crystal system: monoclinic
ΔE_f (raw) in eV/atom: -3.163
Total magnetization in μB/f.u.: 5.992


2.
Entry from Alexandria via LeMat-Bulk: a relaxed Ag2Ge2Te5 crystal (PBE).

a b c (Å): 7.2989 7.5932 10.9323
angles (deg): 110.32 109.50 90.00
Last column: nearest neighbours and their distance in Å.
Fractional positions:
Te 0.8815 0.1587 0.5000  2 Ge 2.69-2.91, 2 Ag 2.85
Te 0.7061 0.7627 0.7250  2 Ge 2.74-2.95, 2 Ag 2.86-2.97
Te 0.2939 0.0377 0.2750  2 Ge 2.74-2.95, 2 Ag 2.86-2.97
Te 0.7762 0.8048 0.1038  2 Ge 2.79-2.86, 2 Ag 2.79-3.01
Te 0.4811 0.5377 0.2750  2 Ge 2.74-2.95, 2 Ag 2.86-2.97
Te 0.8276 0.3048 0.1038  2 Ge 2.79-2.86, 2 Ag 2.79-3.01
Te 0.5189 0.2627 0.7250  2 Ge 2.74-2.95, 2 Ag 2.86-2.97
Te 0.1724 0.2010 0.8962  2 Ge 2.79-2.86, 2 Ag 2.79-3.01
Te 0.2238 0.7010 0.8962  2 Ge 2.79-2.86, 2 Ag 2.79-3.01
Te 0.1185 0.6587 0.5000  2 Ge 2.69-2.91, 2 Ag 2.85
Ag 0.1058 0.6667 0.2388  5 Te 2.79-3.01
Ag 0.6330 0.1667 0.2388  5 Te 2.79-3.01
Ag 0.3670 0.9279 0.7612  5 Te 2.79-3.01
Ag 0.8941 0.4279 0.7612  5 Te 2.79-3.01
Ge 0.7755 0.7899 0.5000  4 Te 2.69-2.91
Ge 0.0000 0.9866 0.0000  6 Te 2.79-2.95
Ge 0.2245 0.2899 0.5000  4 Te 2.69-2.91
Ge 0.5000 0.4866 0.0000  6 Te 2.79-2.95

Computed properties:
Crystal system: orthorhombic
ΔE_f (raw) in eV/atom: 0.061
Total magnetization in μB/f.u.: 0.000


3.
Entry from Alexandria via LeMat-Bulk: a relaxed Pr3ErTm crystal (PBE).

a b c (Å): 3.5826 11.0699 17.6430
angles (deg): 90.00 90.00 90.00
Last column: nearest neighbours and their distance in Å.
Fractional positions:
Pr 0.7482 0.5000 0.7500  4 Er 3.32, 6 Pr 3.58-3.61
Pr 0.7508 0.9437 0.4239  1 Er 3.41, 6 Pr 3.46-3.61, 1 Tm 3.80
Pr 0.2492 0.4437 0.5761  1 Er 3.41, 6 Pr 3.46-3.61, 1 Tm 3.80
Pr 0.7508 0.0563 0.0761  1 Er 3.41, 6 Pr 3.46-3.61, 1 Tm 3.80
Pr 0.7508 0.5563 0.4239  1 Er 3.41, 6 Pr 3.46-3.61, 1 Tm 3.80
Pr 0.7482 0.0000 0.7500  4 Er 3.32, 6 Pr 3.58-3.61
Pr 0.2492 0.0563 0.5761  1 Er 3.41, 6 Pr 3.46-3.61, 1 Tm 3.80
Pr 0.2518 0.0000 0.2500  4 Er 3.32, 6 Pr 3.58-3.61
Pr 0.2492 0.5563 0.9239  1 Er 3.41, 6 Pr 3.46-3.61, 1 Tm 3.80
Pr 0.7508 0.4437 0.0761  1 Er 3.41, 6 Pr 3.46-3.61, 1 Tm 3.80
Pr 0.2492 0.9437 0.9239  1 Er 3.41, 6 Pr 3.46-3.61, 1 Tm 3.80
Pr 0.2518 0.5000 0.2500  4 Er 3.32, 6 Pr 3.58-3.61
Er 0.2480 0.2500 0.7266  6 Pr 3.32-3.41, 2 Tm 3.52, 2 Er 3.58
Er 0.2480 0.7500 0.7734  6 Pr 3.32-3.41, 2 Tm 3.52, 2 Er 3.58
Er 0.7520 0.7500 0.2734  6 Pr 3.32-3.41, 2 Tm 3.52, 2 Er 3.58
Er 0.7520 0.2500 0.2266  6 Pr 3.32-3.41, 2 Tm 3.52, 2 Er 3.58
Tm 0.2516 0.7500 0.1016  2 Er 3.52, 2 Tm 3.58, 8 Pr 3.80-3.86
Tm 0.7484 0.7500 0.6016  2 Er 3.52, 2 Tm 3.58, 8 Pr 3.80-3.86
Tm 0.7484 0.2500 0.8984  2 Er 3.52, 2 Tm 3.58, 8 Pr 3.80-3.86
Tm 0.2516 0.2500 0.3984  2 Er 3.52, 2 Tm 3.58, 8 Pr 3.80-3.86

Computed properties:
DFT formation energy in eV per atom: 0.169
Crystal system: orthorhombic
Total magnetization in μB/f.u.: 0.000
Polymorph energy (0 for the lowest one) in meV/atom: 106


4.
Entry from Alexandria via LeMat-Bulk: a relaxed PaHgTe crystal (PBE).

a b c (Å): 6.0812 6.0812 6.7166
angles (deg): 116.92 116.92 90.00
Last column: nearest neighbours and their distance in Å.
Fractional positions:
Te 0.3039 0.8039 0.6077  3 Pa 3.07-3.08, 2 Hg 3.35
Te 0.0539 0.0539 0.1077  3 Pa 3.07-3.08, 2 Hg 3.35
Hg 0.6902 0.1902 0.3804  3 Pa 3.12-3.26, 2 Te 3.35
Hg 0.4402 0.4402 0.8804  3 Pa 3.12-3.26, 2 Te 3.35
Pa 0.7559 0.7559 0.5118  3 Te 3.07-3.08, 3 Hg 3.12-3.26
Pa 0.0059 0.5059 0.0118  3 Te 3.07-3.08, 3 Hg 3.12-3.26

Computed properties:
Crystal system: tetragonal
ΔE_f (raw) in eV/atom: 0.053
Total magnetization in μB/f.u.: 1.937
Polymorph energy (0 for the lowest one) in meV/atom: 471